(1)
Computed, not measured: CsScP2S after structural relaxation at the PBE level of DFT.

Properties
uncorrected formation energy	1431	meV/atom
theoretical density	3.055	Mg/m³
volume	147.8	Å³/cell
M_tot	0.0	μB/cell
offset from the most stable computed form	1728	meV/atom

Cell lengths 5.3631, 5.3631, 5.1376 Å; angles 90.00, 90.00, 90.00 degrees
With the nearest neighbours (Å) after each atom.
Space group P4/mmm (No. 123)
Asymmetric unit:
Cs1 0.0000 0.0000 0.0000 (multiplicity 1)  2 S 2.57, 4 P 2.68
Sc1 0.5000 0.5000 0.5000 (multiplicity 1)  8 P 3.71, 4 S 3.79
P1 0.0000 0.5000 0.0000 (multiplicity 2)  2 Cs 2.68
S1 0.0000 0.0000 0.5000 (multiplicity 1)  2 Cs 2.57



(2)
Computed, not measured: Ba3SmCu2O6 after structural relaxation at the PBE level of DFT.

Properties
uncorrected formation energy	-1964	meV/atom
theoretical density	5.542	Mg/m³
volume	235.3	Å³/cell
M_tot	1.1	μB/cell

Cell lengths 6.2535, 6.2535, 6.9485 Å; angles 90.00, 90.00, 120.00 degrees
With the nearest neighbours (Å) after each atom.
Space group P-3m1 (No. 164)
Asymmetric unit:
Ba1 0.0000 0.0000 0.0000 (multiplicity 1)  6 O 2.73
Ba2 0.3333 0.6667 0.6553 (multiplicity 2)  1 Cu 3.08, 9 O 3.08-3.15
Sm1 0.0000 0.0000 0.5000 (multiplicity 1)  6 O 2.29
Cu1 0.3333 0.6667 0.2124 (multiplicity 2)  3 O 1.90
O1 0.1664 0.3328 0.2957 (multiplicity 6)  1 Cu 1.90



(3)
Computed, not measured: LiZrPb after structural relaxation at the PBE level of DFT.

Properties
theoretical density	7.934	Mg/m³
volume	127.8	Å³/cell
DFT total energy	-4.728	eV/atom
M_tot	0.0	μB/cell

Cell lengths 3.3429, 3.3429, 11.4387 Å; angles 90.00, 90.00, 90.00 degrees
With the nearest neighbours (Å) after each atom.
Space group I4mm (No. 107)
Asymmetric unit:
Li1 0.0000 0.0000 0.0000 (multiplicity 2)  4 Pb 2.83, 4 Zr 3.08
Zr1 0.0000 0.0000 0.3273 (multiplicity 2)  4 Li 3.08, 4 Pb 3.22, 4 Zr 3.34
Pb1 0.0000 0.0000 0.6362 (multiplicity 2)  4 Li 2.83